The following is a DFT calculation (GGA-PBE) of crystalline Be3GaCu at its relaxed geometry.

Values from the calculation:
space group: No. 221
relative energy among the computed polymorphs: 0.000 eV/atom
electronic total energy: -3.06 eV per atom
calculated volume: 67.5 Å³/cell
DFT formation energy: 0.600 eV per atom
magnetic moment: 0.0 μB/f.u.

Structure (POSCAR):
```
Be3GaCu
1.0
4.071 0.000 0.000
0.000 4.071 0.000
0.000 0.000 4.071
Be Ga Cu
3 1 1
direct
0.000 0.000 0.500
0.000 0.500 0.000
0.500 0.000 0.000
0.500 0.500 0.500
0.000 0.000 0.000
```